Entry 1:
Material: SrLi3Hg2
Method: DFT, PBE
State: relaxed

Uncorrected energy ... -1.618 eV/atom

abc: 3.688 3.688 10.005
angles: 90.00 90.00 90.00
Element x y z (fractional)
Sr 0.000 0.000 0.844
Li 0.000 0.000 0.187
Li 0.500 0.500 0.600
Li 0.500 0.500 0.334
Hg 0.500 0.500 0.052
Hg 0.000 0.000 0.483

Entry 2:
Material: Sr3LiHg2
Method: DFT, PBE
State: relaxed

Uncorrected energy ... -1.605 eV/atom

abc: 3.980 3.980 12.709
angles: 90.00 90.00 90.00
Element x y z (fractional)
Li 0.500 0.500 0.142
Sr 0.000 0.000 0.627
Sr 0.500 0.500 0.891
Sr 0.000 0.000 0.320
Hg 0.500 0.500 0.473
Hg 0.000 0.000 0.048

Entry 3:
Material: Sr2Li2Hg3
Method: DFT, PBE
State: relaxed

Uncorrected energy ... -1.484 eV/atom

abc: 8.740 8.740 8.740
angles: 35.83 35.83 35.83
Element x y z (fractional)
Sr 0.240 0.240 0.240
Sr 0.754 0.754 0.754
Li 0.503 0.503 0.503
Li 0.999 0.999 0.999
Hg 0.884 0.884 0.884
Hg 0.622 0.622 0.622
Hg 0.373 0.373 0.373

Entry 4:
Material: LiTaHg2
Method: DFT, PBE
State: relaxed

Magnetization ... 1.62 μB/f.u.
Uncorrected energy ... -3.002 eV/atom

abc: 4.740 4.740 4.740
angles: 60.00 60.00 60.00
Each line ends with the local moment (μB).
Element x y z (fractional)
Hg 0.000 0.000 0.000  0.04
Hg 0.750 0.750 0.750  -0.01
Ta 0.250 0.250 0.250  1.08
Li 0.500 0.500 0.500  0.05

Entry 5:
Material: LiTaHg
Method: DFT, PBE
State: relaxed

Energy above the lowest structure with this stoichiometry ... 0.000 eV per formula unit
Magnetization ... 0.00 μB/f.u.

abc: 4.416 4.416 4.416
angles: 60.00 60.00 60.00
Element x y z (fractional)
Hg 0.000 0.000 0.000
Ta 0.750 0.750 0.750
Li 0.250 0.250 0.250

Entry 6:
Material: LiTbHg3Te4
Method: DFT, PBE
State: relaxed

Energy above the lowest structure with this stoichiometry ... 0.000 eV per formula unit
Magnetization ... 0.00 μB/f.u.

abc: 7.572 8.159 10.807
angles: 90.00 108.64 90.00
Element x y z (fractional)
Hg 0.439 0.250 0.205
Hg 0.291 0.572 0.539
Hg 0.291 0.928 0.539
Hg 0.709 0.428 0.461
Hg 0.561 0.750 0.795
Hg 0.709 0.072 0.461
Te 0.240 0.524 0.257
Te 0.826 0.750 0.378
Te 0.303 0.750 0.922
Te 0.760 0.024 0.743
Te 0.697 0.250 0.078
Te 0.760 0.476 0.743
Te 0.174 0.250 0.622
Te 0.240 0.976 0.257
Li 0.476 0.750 0.186
Li 0.524 0.250 0.814
Tb 0.973 0.750 0.680
Tb 0.027 0.250 0.320

no.,mass density (Mg/m³)
1,6.22
2,5.53
3,6.42
4,12.99
5,10.59
6,6.71